Here is Li3DyHg2 after structural relaxation from Alexandria via LeMat-Bulk. Energies are from PBE.

It has space group C2/m (No. 12), with a = 14.861 Å, b = 4.178 Å, c = 9.520 Å, α = 90.00°, β = 123.69° and γ = 90.00°. The asymmetric unit holds Li at (0.064, 0.000, 0.413), Li at (0.075, 0.500, 0.686), Li at (0.239, 0.500, 0.587), Dy at (0.123, 0.000, 0.998), Hg at (0.076, 0.500, 0.218) and Hg at (0.205, 0.000, 0.759).

The calculation puts the formation energy at -0.30 eV per atom.

=====

Here is Li2DyHg after structural relaxation from Alexandria via LeMat-Bulk. Energies are from PBE.

It has space group P4/mmm (No. 123), with a = 3.560 Å, b = 3.560 Å, c = 6.798 Å, α = 90.00°, β = 90.00° and γ = 90.00°. The asymmetric unit holds Li at (0.000, 0.000, 0.198), Dy at (0.500, 0.500, 0.500) and Hg at (0.500, 0.500, 0.000).

The calculation puts the formation energy at -0.12 eV per atom. The calculation puts the energy above the lowest structure with this stoichiometry at 111 meV per atom.

=====

Here is Li4Dy3Hg4 after structural relaxation from Alexandria via LeMat-Bulk. Energies are from PBE.

It has space group Immm (No. 71), with a = 4.466 Å, b = 7.631 Å, c = 14.477 Å, α = 90.00°, β = 90.00° and γ = 90.00°. The asymmetric unit holds Li at (0.000, 0.187, 0.177), Dy at (0.000, 0.000, 0.384), Dy at (0.000, 0.500, 0.500), Hg at (0.000, 0.296, 0.000) and Hg at (0.000, 0.500, 0.275).

The calculation puts the formation energy at -0.32 eV per atom.

=====

| no. | uncorrected energy (eV per atom) |
| --- | --- |
| 1 | -2.1279 |
| 2 | -2.3022 |
| 3 | -2.3776 |